(1)
{"formula": "Ba2MnAlSb", "functional": "meta-GGA SCAN", "state": "single point on PBEsol structure", "space_group": "P4/mmm, No. 123", "e_form_raw_ev_per_atom": 0.11, "lattice_angstrom": [[-1.872, -1.595, 4.253], [-1.644, -5.005, -2.600], [5.177, -2.414, 1.373]], "species": ["Sb", "Mn", "Ba", "Ba", "Al"], "frac_coords": [[0.500, 0.000, 0.000], [0.000, 0.000, 0.000], [0.000, 0.000, 0.500], [0.000, 0.500, 0.000], [0.500, 0.500, 0.500]]}

(2)
{"formula": "BaAl2Mo", "functional": "meta-GGA SCAN", "state": "single point on PBEsol structure", "space_group": "P4/mmm, No. 123", "e_form_ev_per_atom": 0.741, "lattice_angstrom": [[2.860, 0.000, 0.000], [0.000, 5.369, 0.000], [0.000, 0.000, 5.369]], "species": ["Mo", "Ba", "Al", "Al"], "frac_coords": [[0.500, 0.000, 0.000], [0.500, 0.500, 0.500], [0.000, 0.000, 0.500], [0.000, 0.500, 0.000]]}

(3)
{"formula": "BaAl2Mo", "functional": "meta-GGA SCAN", "state": "single point on PBEsol structure", "space_group": "I-4m2, No. 119", "e_form_ev_per_atom": 0.883, "lattice_angstrom": [[-1.684, 4.365, -1.360], [-0.852, -1.723, -4.477], [-1.897, -2.244, 3.876]], "species": ["Mo", "Ba", "Al", "Al"], "frac_coords": [[0.250, 0.750, 0.500], [0.500, 0.500, 0.000], [0.000, 0.000, 0.000], [0.750, 0.250, 0.500]]}

(4)
{"formula": "Ba2AlMo", "functional": "meta-GGA SCAN", "state": "single point on PBEsol structure", "space_group": "Imm2, No. 44", "e_form_ev_per_atom": 0.552, "lattice_angstrom": [[-3.498, -1.078, 1.507], [-1.260, -2.535, -4.736], [4.624, -2.838, 3.504]], "species": ["Mo", "Ba", "Ba", "Al"], "frac_coords": [[0.551, 0.551, 0.102], [0.977, 0.977, 0.953], [0.776, 0.276, 0.552], [0.196, 0.696, 0.393]]}

In order of appearance, DOS(E_F) = 3.42, 2.25, 4.12, 3.68 states/eV/f.u..